[1]
VASP calculation (PBE) on an optimized crystal structure of Np2GaBr8.

Cell: 8.551 7.062 8.722 Å, 86.52 119.35 90.00°
Last column: magnetic moment on the atom in μB.
Fractional positions:
Np1 0.269 0.008 0.537  3.63
Np2 0.731 0.992 0.463  3.63
Br1 0.613 0.188 0.674  -0.04
Br2 0.940 0.812 0.326  -0.04
Br3 0.135 0.296 0.271  -0.05
Br4 0.865 0.704 0.729  -0.05
Br5 0.060 0.188 0.674  -0.04
Br6 0.387 0.812 0.326  -0.04
Br7 0.404 0.742 0.808  -0.06
Br8 0.596 0.258 0.192  -0.06
Ga1 0.000 0.000 0.000  0.00

Calculated values
Mass density   4.289 g cm⁻³
Magnetization   7.0 μB per cell
Raw total energy   -54.5 eV per formula unit
Crystal system   monoclinic

=====

[2]
VASP calculation (PBE) on an optimized crystal structure of NpGaPbBr6.

Cell: 7.574 7.574 13.395 Å, 90.00 90.00 120.00°
Last column: magnetic moment on the atom in μB.
Fractional positions:
Np1 0.667 0.333 0.250  3.96
Np2 0.333 0.667 0.750  3.96
Ga1 0.333 0.667 0.250  0.00
Ga2 0.667 0.333 0.750  0.00
Pb1 0.000 0.000 0.000  0.02
Pb2 0.000 0.000 0.500  0.02
Br1 0.671 0.647 0.125  -0.02
Br2 0.977 0.329 0.125  -0.02
Br3 0.329 0.977 0.625  -0.02
Br4 0.023 0.671 0.875  -0.02
Br5 0.353 0.329 0.375  -0.02
Br6 0.977 0.647 0.375  -0.02
Br7 0.647 0.977 0.875  -0.02
Br8 0.671 0.023 0.375  -0.02
Br9 0.023 0.353 0.625  -0.02
Br10 0.353 0.023 0.125  -0.02
Br11 0.647 0.671 0.625  -0.02
Br12 0.329 0.353 0.875  -0.02

Calculated values
Mass density   4.957 g cm⁻³
Magnetization   8.0 μB per cell
Raw total energy   -38.7 eV per formula unit
Crystal system   trigonal